Below is a relaxed NbV2NiN crystal, with properties calculated at the PBE-GGA level.

Calculated values
Volume   18.2 Å³/atom
Offset from the most stable computed form   2.0178 eV/atom
Crystal system   tetragonal
E_form (uncorrected)   1524 meV/atom
Symmetry   P4/mmm, No. 123
Energy   -34.8 eV for the cell shown
Total magnetization   3.40 μB per formula unit
DOS at the Fermi energy   1.398 states/eV/atom

Lattice parameters (Å, degrees): 4.8191 4.8191 3.9081 90.00 90.00 90.00
Closest atoms and distances in Å follow each position.
Fractional coordinates of all 5 atoms:
1 Nb 0.0000 0.0000 0.0000  2 N 1.95
2 V 0.0000 0.5000 0.0000  2 Nb 2.41
3 V 0.5000 0.0000 0.0000  2 Nb 2.41
4 Ni 0.5000 0.5000 0.5000  8 V 3.10, 4 N 3.41
5 N 0.0000 0.0000 0.5000  2 Nb 1.95

Below is a relaxed NbV2NiN crystal, with properties calculated at the PBE-GGA level.

Calculated values
Volume   12.7 Å³/atom
Offset from the most stable computed form   0.0000 eV/atom
Crystal system   tetragonal
E_form (uncorrected)   -493 meV/atom
Symmetry   P4/mmm, No. 123
Energy   -44.9 eV for the cell shown
Total magnetization   0.00 μB per formula unit
DOS at the Fermi energy   0.844 states/eV/atom

Lattice parameters (Å, degrees): 3.8572 3.8572 4.2741 90.00 90.00 90.00
Closest atoms and distances in Å follow each position.
Fractional coordinates of all 5 atoms:
1 Nb 0.0000 0.0000 0.0000  2 N 2.14
2 V 0.0000 0.5000 0.5000  2 N 1.93
3 V 0.5000 0.0000 0.5000  2 N 1.93
4 Ni 0.5000 0.5000 0.0000  4 Nb 2.73, 8 V 2.88
5 N 0.0000 0.0000 0.5000  4 V 1.93, 2 Nb 2.14